# NdTePd2

A geometry-optimized NdTePd2 structure (PBE-GGA, Alexandria).

Properties
crystal system: tetragonal
symmetry: P4/mmm
formation energy (no corrections): -0.6956 eV per atom
electronic total energy: -21.1 eV for the cell shown

a b c (Å): 4.4470 4.4470 4.3687
angles (deg): 90.00 90.00 90.00
With the nearest neighbours (Å) after each atom.
Positions (direct):
Nd: 0.0000 0.0000 0.0000  8 Pd 3.12, 4 Te 3.14
Te: 0.5000 0.5000 0.0000  8 Pd 3.12, 4 Nd 3.14
Pd: 0.0000 0.5000 0.5000  4 Te 3.12, 4 Nd 3.12, 4 Pd 3.14
Pd: 0.5000 0.0000 0.5000  4 Te 3.12, 4 Nd 3.12, 4 Pd 3.14